# TmPuZnFe | Alexandria | PBE | relaxed
data_TmPuZnFe
_space_group_name_H-M_alt 'P 1'
_space_group_IT_number 1
_cell_length_a 4.861
_cell_length_b 4.861
_cell_length_c 4.861
_cell_angle_alpha 60.00
_cell_angle_beta 60.00
_cell_angle_gamma 60.00
loop_
_space_group_symop_operation_xyz
'x,y,z'
loop_
_atom_site_label
_atom_site_type_symbol
_atom_site_fract_x
_atom_site_fract_y
_atom_site_fract_z
Pu1 Pu 0.750 0.750 0.750
Zn1 Zn 0.000 0.000 0.000
Fe1 Fe 0.500 0.500 0.500
Tm1 Tm 0.250 0.250 0.250
# - Fermi-level density of states (states/eV per cell) = 8.918
# - density (g cm⁻³) = 10.9
# - energy relative to the elements (meV per atom) = -5
# - final energy (eV per atom) = -7.140